(1)
# Y2Pd2Se (GGA-PBE, optimized geometry)
# ΔE_f (raw), eV/atom: -0.988
# Energy above the most stable polymorph in this dataset, meV per atom: 88
# Total energy, eV/atom: -6.3476
data_Y2Pd2Se
_cell_length_a 7.651
_cell_length_b 7.651
_cell_length_c 3.721
_cell_angle_alpha 90.00
_cell_angle_beta 90.00
_cell_angle_gamma 90.00
_symmetry_space_group_name_H-M 'P 4/m b m'
_symmetry_Int_Tables_number 127
_symmetry_space_group_name_Hall '-P 4 2ab'
loop_
_atom_site_label
_atom_site_fract_x
_atom_site_fract_y
_atom_site_fract_z
Y1 0.175 0.325 0.000
Pd1 0.125 0.625 0.500
Se1 0.000 0.000 0.500

***

(2)
# In2Pd2Au3 (GGA-PBE, optimized geometry)
# DFT formation energy, eV/f.u.: -2.07
# Energy above the most stable polymorph in this dataset, meV per atom: 0
# Total energy, eV/atom: -3.9661
data_In2Pd2Au3
_cell_length_a 4.209
_cell_length_b 4.929
_cell_length_c 6.870
_cell_angle_alpha 98.89
_cell_angle_beta 90.18
_cell_angle_gamma 115.18
_symmetry_space_group_name_H-M 'P -1'
_symmetry_Int_Tables_number 2
loop_
_symmetry_equiv_pos_as_xyz
'x,y,z'
'-x,-y,-z'
loop_
_atom_site_label
_atom_site_fract_x
_atom_site_fract_y
_atom_site_fract_z
In1 0.083 0.168 0.240
Pd1 0.213 0.425 0.648
Au1 0.360 0.721 0.077
Au2 0.500 0.000 0.500

***

(3)
# Ba2LiDyHg6 (GGA-PBE, optimized geometry)
# DFT formation energy, eV/f.u.: -2.86
# Total energy, eV/atom: -1.5031
data_Ba2LiDyHg6
_cell_length_a 7.704
_cell_length_b 7.732
_cell_length_c 10.949
_cell_angle_alpha 90.00
_cell_angle_beta 90.00
_cell_angle_gamma 90.00
_symmetry_space_group_name_H-M 'I m m m'
_symmetry_Int_Tables_number 71
_symmetry_space_group_name_Hall '-I 2 2'
loop_
_atom_site_label
_atom_site_fract_x
_atom_site_fract_y
_atom_site_fract_z
Ba1 0.000 0.000 0.250
Li1 0.000 0.500 0.000
Dy1 0.000 0.500 0.500
Hg1 0.000 0.500 0.232
Hg2 0.231 0.268 0.000

***

Look up the total energy of the second one.
-3.9661 eV/atom

***

The highest total energy belongs to which entry?
Ba2LiDyHg6

***

What is the formula in the third record?
Ba2LiDyHg6